[1]
The following is a PBE calculation of an optimized crystal structure of Ca4GaPb2, from the Alexandria database.

The value obtained for the formation energy is -0.196 eV/atom. As for the raw total energy: -0.2081 Ry/atom. The calculation puts the energy above the most stable polymorph in this dataset at 1.84 eV/f.u.

Cell lengths 5.6676, 5.6676, 8.8073 Å; angles 71.23, 71.23, 90.00 degrees
Closest atoms and distances in Å follow each position.
Element x y z (fractional)
Pb (0.3872, 0.3872, 0.2255)  5 Ca 3.17-3.34, 1 Pb 3.54
Ga (0.0000, 0.0000, 0.0000)  6 Ca 2.83-2.91
Pb (0.6128, 0.6128, 0.7745)  5 Ca 3.17-3.34, 1 Pb 3.54
Ca (0.1852, 0.1852, 0.6296)  1 Ga 2.91, 1 Pb 3.17
Ca (0.5000, 0.0000, 0.0000)  2 Ga 2.83
Ca (0.0000, 0.5000, 0.0000)  2 Ga 2.83
Ca (0.8148, 0.8148, 0.3704)  1 Ga 2.91, 1 Pb 3.17



[2]
The following is a PBE calculation of an optimized crystal structure of Ca4GaPb3, from the Alexandria database.

The value obtained for the formation energy is -0.504 eV/atom. As for the raw total energy: -0.2406 Ry/atom.

Cell lengths 3.7238, 3.7238, 16.7291 Å; angles 90.00, 90.00, 90.00 degrees
Closest atoms and distances in Å follow each position.
Element x y z (fractional)
Pb (0.5000, 0.5000, 0.2351)  8 Ca 3.39-3.44, 4 Pb 3.72
Ga (0.5000, 0.5000, 0.0000)  8 Ca 3.19
Pb (0.5000, 0.5000, 0.7649)  8 Ca 3.39-3.44, 4 Pb 3.72
Pb (0.5000, 0.5000, 0.5000)  8 Ca 3.44, 4 Pb 3.72
Ca (0.0000, 0.0000, 0.8924)  4 Ga 3.19, 4 Pb 3.39
Ca (0.0000, 0.0000, 0.3676)  8 Pb 3.44, 4 Ca 3.72
Ca (0.0000, 0.0000, 0.6324)  8 Pb 3.44, 4 Ca 3.72
Ca (0.0000, 0.0000, 0.1076)  4 Ga 3.19, 4 Pb 3.39



[3]
The following is a PBE calculation of an optimized crystal structure of Ca3GaPb, from the Alexandria database.

The value obtained for the formation energy is -0.420 eV/atom. As for the raw total energy: -0.2181 Ry/atom. The calculation puts the energy above the most stable polymorph in this dataset at 0.00 eV/f.u.

Cell lengths 3.9435, 8.9288, 9.2853 Å; angles 97.45, 89.98, 102.74 degrees
Closest atoms and distances in Å follow each position.
Element x y z (fractional)
Ca (0.0734, 0.1803, 0.3991)  1 Ga 3.32, 4 Pb 3.43-3.45, 1 Ca 3.71
Pb (0.4154, 0.8632, 0.2950)  8 Ca 3.23-3.45
Ca (0.4164, 0.8665, 0.6436)  3 Ga 3.09-3.20, 1 Pb 3.23
Ga (0.8109, 0.6552, 0.7820)  2 Ga 2.65
Ca (0.7721, 0.5767, 0.3975)  2 Ga 3.13, 3 Pb 3.30-3.41
Ca (0.2719, 0.5773, 0.0241)  2 Ga 3.13, 3 Pb 3.30-3.41
Ga (0.2333, 0.4989, 0.6396)  2 Ga 2.65
Ca (0.6274, 0.2876, 0.7779)  3 Ga 3.09-3.20, 1 Pb 3.23
Pb (0.6286, 0.2909, 0.1266)  8 Ca 3.23-3.45
Ca (0.9704, 0.9738, 0.0224)  1 Ga 3.32, 4 Pb 3.43-3.45, 1 Ca 3.71



[4]
The following is a PBE calculation of an optimized crystal structure of Ca7Ga2Pb2, from the Alexandria database.

The value obtained for the formation energy is -0.251 eV/atom. As for the raw total energy: -0.2021 Ry/atom.

Cell lengths 6.9796, 8.1605, 6.9796 Å; angles 90.00, 111.97, 90.00 degrees
Closest atoms and distances in Å follow each position.
Element x y z (fractional)
Ga (0.8358, 0.5000, 0.8358)  1 Ga 2.56
Ca (0.0002, 0.7060, 0.4997)  2 Pb 3.15, 3 Ca 3.36-3.49, 2 Ga 3.41
Ca (0.5002, 0.7213, 0.4998)  2 Ga 3.18, 2 Pb 3.24-3.25, 4 Ca 3.49
Ca (0.5003, 0.7060, 0.9998)  2 Pb 3.15, 3 Ca 3.36-3.49, 2 Ga 3.41
Pb (0.3000, 0.0000, 0.7000)  7 Ca 3.15-3.47
Ca (0.9998, 0.2940, 0.5003)  2 Pb 3.15, 3 Ca 3.36-3.49, 2 Ga 3.41
Pb (0.7000, 0.0000, 0.3000)  7 Ca 3.15-3.47
Ca (0.4997, 0.2940, 0.0002)  2 Pb 3.15, 3 Ca 3.36-3.49, 2 Ga 3.41
Ga (0.1642, 0.5000, 0.1642)  1 Ga 2.56
Ca (0.0000, 0.0000, 0.0000)  2 Pb 3.47
Ca (0.4998, 0.2787, 0.5002)  2 Ga 3.18, 2 Pb 3.24-3.25, 4 Ca 3.49



[5]
The following is a PBE calculation of an optimized crystal structure of CaGaPb, from the Alexandria database.

The value obtained for the formation energy is -0.362 eV/atom. As for the raw total energy: -0.2407 Ry/atom.

Cell lengths 4.4022, 4.4022, 10.4825 Å; angles 77.88, 77.88, 60.00 degrees
Closest atoms and distances in Å follow each position.
Element x y z (fractional)
Ga (0.1642, 0.1642, 0.5075)  3 Ga 2.55
Pb (0.6940, 0.6940, 0.9180)  3 Pb 3.04, 3 Ca 3.34
Pb (0.3060, 0.3060, 0.0820)  3 Pb 3.04, 3 Ca 3.34
Ca (0.4317, 0.4317, 0.7048)  6 Ga 3.24-3.34, 3 Pb 3.34
Ga (0.8358, 0.8358, 0.4925)  3 Ga 2.55
Ca (0.5683, 0.5683, 0.2952)  6 Ga 3.24-3.34, 3 Pb 3.34



[6]
The following is a PBE calculation of an optimized crystal structure of CaGaPb, from the Alexandria database.

The value obtained for the formation energy is -0.360 eV/atom. As for the raw total energy: -0.2405 Ry/atom.

Cell lengths 5.5657, 7.9942, 7.2377 Å; angles 90.00, 90.00, 90.00 degrees
Closest atoms and distances in Å follow each position.
Element x y z (fractional)
Pb (0.2500, 0.8263, 0.5120)  4 Ga 3.16-3.19, 5 Ca 3.42-3.50
Pb (0.2500, 0.6737, 0.0120)  4 Ga 3.16-3.19, 5 Ca 3.42-3.50
Ca (0.2500, 0.1633, 0.2179)  4 Ga 3.20-3.23, 5 Pb 3.42-3.50
Ga (0.0000, 0.5000, 0.3586)  2 Ga 2.78
Ca (0.7500, 0.8367, 0.2179)  4 Ga 3.20-3.23, 5 Pb 3.42-3.50
Pb (0.7500, 0.1737, 0.5120)  4 Ga 3.16-3.19, 5 Ca 3.42-3.50
Ca (0.2500, 0.3367, 0.7179)  4 Ga 3.20-3.23, 5 Pb 3.42-3.50
Ga (0.5000, 0.5000, 0.3586)  2 Ga 2.78
Ga (0.0000, 0.0000, 0.8586)  2 Ga 2.78
Ga (0.5000, 0.0000, 0.8586)  2 Ga 2.78
Pb (0.7500, 0.3263, 0.0120)  4 Ga 3.16-3.19, 5 Ca 3.42-3.50
Ca (0.7500, 0.6633, 0.7179)  4 Ga 3.20-3.23, 5 Pb 3.42-3.50



[7]
The following is a PBE calculation of an optimized crystal structure of Ca2GaPb, from the Alexandria database.

The value obtained for the formation energy is -0.478 eV/atom. As for the raw total energy: -0.2324 Ry/atom.

Cell lengths 3.7468, 3.7468, 7.8722 Å; angles 90.00, 90.00, 90.00 degrees
Closest atoms and distances in Å follow each position.
Element x y z (fractional)
Pb (0.5000, 0.5000, 0.5000)  8 Ca 3.40, 4 Pb 3.75
Ca (0.0000, 0.0000, 0.7701)  4 Ga 3.21, 4 Pb 3.40
Ga (0.5000, 0.5000, 0.0000)  8 Ca 3.21
Ca (0.0000, 0.0000, 0.2299)  4 Ga 3.21, 4 Pb 3.40



[8]
The following is a PBE calculation of an optimized crystal structure of CaGaPb, from the Alexandria database.

The value obtained for the formation energy is -0.359 eV/atom. As for the raw total energy: -0.2405 Ry/atom.

Cell lengths 11.4133, 6.5358, 4.4488 Å; angles 90.00, 90.00, 90.00 degrees
Closest atoms and distances in Å follow each position.
Element x y z (fractional)
Pb (0.5000, 0.2492, 0.0000)  4 Ga 3.08, 2 Pb 3.26-3.28
Ga (0.3799, 0.0000, 0.5000)  1 Ga 2.74, 2 Ca 3.05
Pb (0.5000, 0.7508, 0.0000)  4 Ga 3.08, 2 Pb 3.26-3.28
Pb (0.0000, 0.7492, 0.5000)  4 Ga 3.08, 2 Pb 3.26-3.28
Ca (0.6965, 0.5000, 0.5000)  4 Ga 3.05-3.38
Pb (0.0000, 0.2508, 0.5000)  4 Ga 3.08, 2 Pb 3.26-3.28
Ga (0.8799, 0.5000, 0.0000)  1 Ga 2.74, 2 Ca 3.05
Ca (0.1965, 0.0000, 0.0000)  4 Ga 3.05-3.38
Ca (0.3035, 0.5000, 0.5000)  4 Ga 3.05-3.38
Ga (0.6201, 0.0000, 0.5000)  1 Ga 2.74, 2 Ca 3.05
Ga (0.1201, 0.5000, 0.0000)  1 Ga 2.74, 2 Ca 3.05
Ca (0.8035, 0.0000, 0.0000)  4 Ga 3.05-3.38